# 1
ScInHgSe3: optimized geometry, GGA-PBE.

Cell: 12.6385 3.9313 12.6393 Å, 90.00 90.00 90.00°
Fractional positions:
Hg: 0.8296 0.0000 0.0763
Hg: 0.3296 0.0000 0.4237
Hg: 0.6704 0.5000 0.5763
Hg: 0.1704 0.5000 0.9237
In: 0.1830 0.0000 0.1004
In: 0.6830 0.0000 0.3996
In: 0.3170 0.5000 0.6004
In: 0.8170 0.5000 0.8996
Sc: 0.4820 0.5000 0.1391
Sc: 0.9820 0.5000 0.3609
Sc: 0.0180 0.0000 0.6391
Sc: 0.5180 0.0000 0.8609
Se: 0.6047 0.0000 0.0560
Se: 0.9945 0.0000 0.2076
Se: 0.2779 0.5000 0.2120
Se: 0.7779 0.5000 0.2880
Se: 0.4945 0.0000 0.2924
Se: 0.1047 0.0000 0.4440
Se: 0.8953 0.5000 0.5560
Se: 0.5055 0.5000 0.7076
Se: 0.2221 0.0000 0.7120
Se: 0.7221 0.0000 0.7880
Se: 0.0055 0.5000 0.7924
Se: 0.3953 0.5000 0.9440

Values from the calculation:
**E above lowest polymorph**: 36 meV/atom
**Crystal system**: orthorhombic
**Space-group type**: Pnma

***

# 2
YZnB5O10: optimized geometry, GGA-PBE.

Cell: 8.4983 7.5906 12.2028 Å, 90.00 130.07 90.00°
Fractional positions:
B: 0.3495 0.6027 0.0100
B: 0.7800 0.9679 0.0568
B: 0.0236 0.1882 0.0881
B: 0.5830 0.1759 0.1034
B: 0.1645 0.9270 0.2463
B: 0.8355 0.4270 0.2537
B: 0.4170 0.6759 0.3966
B: 0.9764 0.6882 0.4119
B: 0.2200 0.4679 0.4432
B: 0.6505 0.1027 0.4900
B: 0.3495 0.8973 0.5100
B: 0.7800 0.5321 0.5568
B: 0.0236 0.3118 0.5881
B: 0.5830 0.3241 0.6034
B: 0.1645 0.5730 0.7463
B: 0.8355 0.0730 0.7537
B: 0.4170 0.8241 0.8966
B: 0.9764 0.8118 0.9119
B: 0.2200 0.0321 0.9432
B: 0.6505 0.3973 0.9900
O: 0.8283 0.1255 0.0091
O: 0.4780 0.7312 0.0234
O: 0.0790 0.3490 0.0703
O: 0.4013 0.1090 0.0798
O: 0.8047 0.4686 0.1214
O: 0.3838 0.5577 0.1301
O: 0.9584 0.8515 0.1402
O: 0.7321 0.0290 0.1499
O: 0.1893 0.0936 0.1993
O: 0.6856 0.2978 0.2256
O: 0.3144 0.7978 0.2744
O: 0.8107 0.5936 0.3007
O: 0.2679 0.5290 0.3501
O: 0.0416 0.3514 0.3598
O: 0.6162 0.0577 0.3699
O: 0.1953 0.9685 0.3786
O: 0.5987 0.6090 0.4202
O: 0.9210 0.8490 0.4297
O: 0.5220 0.2312 0.4766
O: 0.1717 0.6255 0.4909
O: 0.8283 0.3745 0.5091
O: 0.4780 0.7688 0.5234
O: 0.0790 0.1510 0.5703
O: 0.4013 0.3910 0.5798
O: 0.8047 0.0315 0.6214
O: 0.3838 0.9423 0.6301
O: 0.9584 0.6486 0.6402
O: 0.7321 0.4710 0.6499
O: 0.1893 0.4064 0.6993
O: 0.6856 0.2022 0.7256
O: 0.3144 0.7022 0.7744
O: 0.8107 0.9064 0.8007
O: 0.2679 0.9710 0.8501
O: 0.0416 0.1485 0.8598
O: 0.6162 0.4423 0.8699
O: 0.1953 0.5315 0.8786
O: 0.5987 0.8910 0.9202
O: 0.9210 0.6510 0.9297
O: 0.5220 0.2688 0.9766
O: 0.1717 0.8745 0.9909
Y: 0.5572 0.8196 0.2398
Y: 0.4428 0.3196 0.2602
Y: 0.5572 0.6804 0.7398
Y: 0.4428 0.1804 0.7602
Zn: 0.0240 0.5910 0.1288
Zn: 0.9760 0.0910 0.3712
Zn: 0.0240 0.9090 0.6288
Zn: 0.9760 0.4090 0.8712

Values from the calculation:
**Energy**: -7.838 eV/atom
**Crystal system**: monoclinic
**Space-group type**: P2_1/c

***

# 3
TaSiNiPd: optimized geometry, GGA-PBE.

Cell: 4.3233 4.3233 4.3233 Å, 60.00 60.00 60.00°
Fractional positions:
Ni: 0.7500 0.7500 0.7500
Pd: 0.5000 0.5000 0.5000
Si: 0.0000 0.0000 0.0000
Ta: 0.2500 0.2500 0.2500

Values from the calculation:
**E above lowest polymorph**: 0 meV/atom
**Crystal system**: cubic
**Space-group type**: F-43m

***

# 4
AgHgNO: optimized geometry, GGA-PBE.

Cell: 4.6343 4.6343 4.9725 Å, 90.00 90.00 90.00°
Fractional positions:
Ag: 0.0000 0.5000 0.0021
Ag: 0.5000 0.0000 0.9979
Hg: 0.0000 0.0000 0.5000
Hg: 0.5000 0.5000 0.5000
N: 0.5000 0.0000 0.4913
N: 0.0000 0.5000 0.5087
O: 0.0000 0.0000 0.0000
O: 0.5000 0.5000 0.0000

Values from the calculation:
**E above lowest polymorph**: 23 meV/atom
**Crystal system**: tetragonal
**Space-group type**: P4/nmm